Entry i
Y2ZrSi: optimized geometry, GGA-PBEsol.

Values from the calculation:
- D(E_F) (states/eV/f.u.) = 2.8

The structure in extended XYZ format:
```
4
Lattice="-3.609 -0.958 0.641 0.443 -3.581 -2.862 3.106 -0.767 5.146" Properties=species:S:1:pos:R:3 pbc="T T T"
Y -0.700 -4.032 1.231
Zr 0.221 -1.790 -1.431
Si -1.805 -0.479 0.320
Y 0.639 -1.275 1.694
```

---

Entry ii
Y2ZrSi: optimized geometry, GGA-PBEsol.

Values from the calculation:
- D(E_F) (states/eV/f.u.) = 3.7

The structure in extended XYZ format:
```
4
Lattice="-0.105 4.366 0.345 -4.159 0.009 -1.377 0.685 -2.567 4.884" Properties=species:S:1:pos:R:3 pbc="T T T"
Si -2.803 -0.185 1.496
Y -0.776 1.993 2.356
Zr -2.132 2.188 -0.516
Y 0.000 0.000 0.000
```

---

Which structure loses on stability? entry i does.

---

Entry i
Sm: optimized geometry, GGA-PBEsol.

Values from the calculation:
- D(E_F) (states/eV/f.u.) = 1.7

The structure in extended XYZ format:
```
2
Lattice="-2.162 2.775 -0.624 1.178 -1.994 -2.720 -4.562 -3.433 0.542" Properties=species:S:1:pos:R:3 pbc="T T T"
Sm -1.076 -1.263 -1.886
Sm -4.470 -1.390 -0.916
```

---

Entry ii
Sm: optimized geometry, GGA-PBEsol.

Values from the calculation:
- D(E_F) (states/eV/f.u.) = 1.2

The structure in extended XYZ format:
```
3
Lattice="8.826 -0.001 0.000 8.103 3.498 0.000 8.103 1.674 3.072" Properties=species:S:1:pos:R:3 pbc="T T T"
Sm 5.569 1.150 0.683
Sm 19.464 4.021 2.387
Sm 0.000 0.000 0.000
```

---

Which structure loses on stability? entry i does.

---

Entry i
Sm3Tm: optimized geometry, GGA-PBEsol.

Values from the calculation:
- D(E_F) (states/eV/f.u.) = 5.3

The structure in extended XYZ format:
```
4
Lattice="4.964 0.000 0.000 0.000 4.964 0.000 0.000 0.000 4.964" Properties=species:S:1:pos:R:3 pbc="T T T"
Sm 2.482 2.482 0.000
Sm 2.482 0.000 2.482
Tm 0.000 0.000 0.000
Sm 0.000 2.482 2.482
```

---

Entry ii
Sm3Tm: optimized geometry, GGA-PBEsol.

Values from the calculation:
- D(E_F) (states/eV/f.u.) = 6.5

The structure in extended XYZ format:
```
8
Lattice="-1.131 -4.913 -2.547 3.538 -3.465 5.112 -6.973 1.237 0.710" Properties=species:S:1:pos:R:3 pbc="T T T"
Sm 0.934 -6.364 2.467
Sm -5.500 -0.777 0.809
Sm -2.544 -5.747 2.821
Sm -2.021 -1.394 0.455
Tm -0.248 -3.126 3.008
Sm -3.735 -2.505 3.359
Sm -0.831 -4.635 -0.083
Tm -4.317 -4.015 0.267
```

---

Which structure loses on stability? entry ii does.

---

Entry i
SmY3: optimized geometry, GGA-PBEsol.

Values from the calculation:
- D(E_F) (states/eV/f.u.) = 5.5

The structure in extended XYZ format:
```
4
Lattice="-3.240 0.863 3.668 -3.554 -2.309 -2.596 4.650 -3.589 1.585" Properties=species:S:1:pos:R:3 pbc="T T T"
Sm 0.000 0.000 0.000
Y -0.994 -1.725 2.895
Y -1.151 -3.311 -0.237
Y -3.397 -0.723 0.536
```

---

Entry ii
SmY3: optimized geometry, GGA-PBEsol.

Values from the calculation:
- D(E_F) (states/eV/f.u.) = 7.2

The structure in extended XYZ format:
```
8
Lattice="5.618 0.000 0.000 0.000 7.160 0.000 0.000 -3.580 6.201" Properties=species:S:1:pos:R:3 pbc="T T T"
Y 1.404 1.790 5.167
Y 4.213 3.580 4.134
Sm 4.213 0.000 4.134
Sm 1.404 3.580 2.067
Y 4.213 5.370 1.033
Y 4.213 1.790 1.033
Y 1.404 0.000 2.067
Y 1.404 -1.790 5.167
```

---

Which structure loses on stability? entry i does.

---

Entry i
Sn: optimized geometry, GGA-PBEsol.

Values from the calculation:
- D(E_F) (states/eV/f.u.) = 0.5

The structure in extended XYZ format:
```
3
Lattice="3.363 -0.064 -0.091 -1.702 2.901 0.091 -1.587 -0.976 8.143" Properties=species:S:1:pos:R:3 pbc="T T T"
Sn 0.888 -0.520 4.026
Sn 2.624 0.369 1.302
Sn -2.550 1.492 6.841
```

---

Entry ii
Sn: optimized geometry, GGA-PBEsol.

Values from the calculation:
- D(E_F) (states/eV/f.u.) = 0.5

The structure in extended XYZ format:
```
2
Lattice="-2.104 2.337 -0.069 -1.778 0.397 -4.010 -4.023 -1.474 1.021" Properties=species:S:1:pos:R:3 pbc="T T T"
Sn 0.000 0.000 0.000
Sn -4.478 1.215 -1.547
```

---

Which structure loses on stability? entry i does.

---

Entry i
TaTl3Sn: optimized geometry, GGA-PBEsol.

Values from the calculation:
- D(E_F) (states/eV/f.u.) = 8.0

The structure in extended XYZ format:
```
5
Lattice="5.507 0.000 0.000 0.000 5.507 0.000 0.000 0.000 5.507" Properties=species:S:1:pos:R:3 pbc="T T T"
Tl 2.753 0.000 0.000
Tl 0.000 2.753 0.000
Ta 2.753 2.753 2.753
Tl 0.000 0.000 2.753
Sn 0.000 0.000 0.000
```

---

Entry ii
TaTl3Sn: optimized geometry, GGA-PBEsol.

Values from the calculation:
- D(E_F) (states/eV/f.u.) = 2.3

The structure in extended XYZ format:
```
5
Lattice="5.379 0.000 0.000 0.000 5.379 0.000 0.000 0.000 5.379" Properties=species:S:1:pos:R:3 pbc="T T T"
Tl 0.000 2.690 0.000
Ta 0.000 0.000 0.000
Sn 2.690 2.690 2.690
Tl 0.000 0.000 2.690
Tl 2.690 0.000 0.000
```

---

Which structure loses on stability? entry i does.

---

Entry i
TaZn3Sn: optimized geometry, GGA-PBEsol.

Values from the calculation:
- D(E_F) (states/eV/f.u.) = 4.6

The structure in extended XYZ format:
```
5
Lattice="4.816 0.000 0.000 0.000 4.816 0.000 0.000 0.000 4.816" Properties=species:S:1:pos:R:3 pbc="T T T"
Zn 0.000 2.408 0.000
Zn 2.408 0.000 0.000
Ta 2.408 2.408 2.408
Zn 0.000 0.000 2.408
Sn 0.000 0.000 0.000
```

---

Entry ii
TaZn3Sn: optimized geometry, GGA-PBEsol.

Values from the calculation:
- D(E_F) (states/eV/f.u.) = 5.2

The structure in extended XYZ format:
```
5
Lattice="4.936 0.000 0.000 0.000 4.936 0.000 0.000 0.000 4.936" Properties=species:S:1:pos:R:3 pbc="T T T"
Ta 0.000 0.000 0.000
Zn 0.000 2.468 0.000
Zn 2.468 0.000 0.000
Zn 0.000 0.000 2.468
Sn 2.468 2.468 2.468
```

---

Which structure loses on stability? entry i does.

---

Entry i
SrTa2Tl: optimized geometry, GGA-PBEsol.

Values from the calculation:
- D(E_F) (states/eV/f.u.) = 4.2

The structure in extended XYZ format:
```
4
Lattice="-2.283 1.848 0.604 -0.948 -0.246 -2.834 -5.602 -7.755 2.548" Properties=species:S:1:pos:R:3 pbc="T T T"
Ta -2.984 -1.094 -0.493
Sr -5.797 -4.987 0.786
Ta -0.192 -0.265 0.087
Tl -2.661 -3.684 1.210
```

---

Entry ii
SrTa2Tl: optimized geometry, GGA-PBEsol.

Values from the calculation:
- D(E_F) (states/eV/f.u.) = 4.4

The structure in extended XYZ format:
```
4
Lattice="-1.090 -2.021 -1.839 2.407 -1.476 0.826 -5.237 -4.214 7.734" Properties=species:S:1:pos:R:3 pbc="T T T"
Tl -1.960 -3.856 3.360
Sr 0.658 -1.748 -0.507
Ta -3.784 -3.045 5.588
Ta -1.453 -1.169 2.146
```

---

Which structure loses on stability? entry ii does.

---

Entry i
SrTa2Tl: optimized geometry, GGA-PBEsol.

Values from the calculation:
- D(E_F) (states/eV/f.u.) = 4.1

The structure in extended XYZ format:
```
4
Lattice="3.012 0.000 0.000 -1.506 4.644 0.006 0.000 -0.633 6.897" Properties=species:S:1:pos:R:3 pbc="T T T"
Sr 1.506 2.233 1.699
Tl 1.506 -0.274 3.763
Ta 1.506 3.921 6.416
Ta 0.000 1.826 5.376
```

---

Entry ii
SrTa2Tl: optimized geometry, GGA-PBEsol.

Values from the calculation:
- D(E_F) (states/eV/f.u.) = 4.4

The structure in extended XYZ format:
```
4
Lattice="2.927 0.000 0.000 0.000 5.866 0.021 0.000 -2.786 5.163" Properties=species:S:1:pos:R:3 pbc="T T T"
Sr 1.463 1.540 2.592
Ta 0.000 -1.393 2.581
Ta 0.000 2.933 0.010
Tl 1.463 0.000 0.000
```

---

Which structure loses on stability? entry ii does.

---

Entry i
SrYTa2: optimized geometry, GGA-PBEsol.

Values from the calculation:
- D(E_F) (states/eV/f.u.) = 4.3

The structure in extended XYZ format:
```
4
Lattice="3.331 0.000 0.000 0.000 5.668 0.000 -1.665 -2.834 5.381" Properties=species:S:1:pos:R:3 pbc="T T T"
Ta 1.665 0.000 2.352
Ta 0.000 0.000 0.404
Y 0.000 0.000 5.108
Sr 0.000 2.834 2.898
```

---

Entry ii
SrYTa2: optimized geometry, GGA-PBEsol.

Values from the calculation:
- D(E_F) (states/eV/f.u.) = 4.7

The structure in extended XYZ format:
```
4
Lattice="3.085 0.000 0.000 0.000 4.828 0.000 0.000 0.000 6.782" Properties=species:S:1:pos:R:3 pbc="T T T"
Ta 0.000 0.000 1.324
Sr 1.542 2.414 3.391
Y 1.542 2.414 0.000
Ta 0.000 0.000 5.457
```

---

Entry iii
SrYTa2: optimized geometry, GGA-PBEsol.

Values from the calculation:
- D(E_F) (states/eV/f.u.) = 4.2

The structure in extended XYZ format:
```
4
Lattice="5.060 0.000 0.000 2.530 4.382 0.000 2.530 1.461 4.132" Properties=species:S:1:pos:R:3 pbc="T T T"
Ta 0.000 0.000 0.000
Sr 5.060 2.922 2.066
Y 2.530 1.461 1.033
Ta 7.591 4.382 3.099
```

---

Which structure loses on stability? entry iii does.

---

Entry i
SrZr2Ta: optimized geometry, GGA-PBEsol.

Values from the calculation:
- D(E_F) (states/eV/f.u.) = 5.8

The structure in extended XYZ format:
```
4
Lattice="3.088 0.000 0.000 0.000 5.827 0.000 -1.544 -2.913 5.471" Properties=species:S:1:pos:R:3 pbc="T T T"
Zr 1.544 2.913 2.373
Ta 0.000 2.913 0.000
Sr 1.544 0.000 0.000
Zr 0.000 0.000 3.098
```

---

Entry ii
SrZr2Ta: optimized geometry, GGA-PBEsol.

Values from the calculation:
- D(E_F) (states/eV/f.u.) = 5.2

The structure in extended XYZ format:
```
4
Lattice="3.646 0.000 0.000 0.000 3.646 0.000 0.000 0.000 7.741" Properties=species:S:1:pos:R:3 pbc="T T T"
Zr 1.823 1.823 1.410
Sr 0.000 0.000 4.055
Zr 0.000 0.000 7.540
Ta 1.823 1.823 6.348
```

---

Which structure loses on stability? entry i does.

---

Entry i
SrTc: optimized geometry, GGA-PBEsol.

Values from the calculation:
- D(E_F) (states/eV/f.u.) = 3.2

The structure in extended XYZ format:
```
4
Lattice="4.933 0.000 0.000 2.466 4.272 0.000 2.466 1.424 4.027" Properties=species:S:1:pos:R:3 pbc="T T T"
Sr 4.933 2.848 2.014
Tc 2.466 1.424 1.007
Sr 7.399 4.272 3.021
Tc 0.000 0.000 0.000
```

---

Entry ii
SrTc: optimized geometry, GGA-PBEsol.

Values from the calculation:
- D(E_F) (states/eV/f.u.) = 2.7

The structure in extended XYZ format:
```
2
Lattice="-0.687 2.294 1.911 -2.300 -0.310 2.000 2.287 -1.254 4.783" Properties=species:S:1:pos:R:3 pbc="T T T"
Sr 0.000 0.000 0.000
Tc -0.351 0.365 4.347
```

---

Which structure loses on stability? entry ii does.